Run i
Below is a relaxed structure of KGa3B, with properties calculated at the PBE level.

Values from the calculation:
Volume ... 20.56 Å³ per atom
SG ... No. 221
Magnetization ... 0.00 μB per cell
Fermi-level density of states ... 0.52 states/eV/atom

abc: 4.685 4.685 4.685
angles: 90.00 90.00 90.00
Fractional coordinates of all 5 atoms:
Ga: 0.500 0.000 0.000
Ga: 0.000 0.500 0.000
Ga: 0.000 0.000 0.500
K: 0.500 0.500 0.500
B: 0.000 0.000 0.000


Run ii
Below is a relaxed structure of KGa3B, with properties calculated at the PBE level.

Values from the calculation:
Volume ... 38.08 Å³ per atom
SG ... No. 221
Magnetization ... 0.00 μB per cell
Fermi-level density of states ... 1.33 states/eV/atom

abc: 5.753 5.753 5.753
angles: 90.00 90.00 90.00
Fractional coordinates of all 5 atoms:
Ga: 0.500 0.000 0.000
Ga: 0.000 0.000 0.500
Ga: 0.000 0.500 0.000
B: 0.500 0.500 0.500
K: 0.000 0.000 0.000


run i has the most favorable energy; the next structure is 143.4 kJ/mol of atoms above.


Run i
Below is a relaxed structure of LiGaB3, with properties calculated at the PBE level.

Values from the calculation:
Volume ... 14.64 Å³ per atom
SG ... No. 221
Magnetization ... 0.00 μB per cell
Fermi-level density of states ... 0.32 states/eV/atom

abc: 4.183 4.183 4.183
angles: 90.00 90.00 90.00
Fractional coordinates of all 5 atoms:
B: 0.500 0.000 0.000
B: 0.000 0.500 0.000
B: 0.000 0.000 0.500
Li: 0.500 0.500 0.500
Ga: 0.000 0.000 0.000


Run ii
Below is a relaxed structure of LiGaB3, with properties calculated at the PBE level.

Values from the calculation:
Volume ... 11.03 Å³ per atom
SG ... No. 221
Magnetization ... 0.00 μB per cell
Fermi-level density of states ... 0.38 states/eV/atom

abc: 3.806 3.806 3.806
angles: 90.00 90.00 90.00
Fractional coordinates of all 5 atoms:
Li: 0.000 0.000 0.000
B: 0.000 0.000 0.500
B: 0.000 0.500 0.000
B: 0.500 0.000 0.000
Ga: 0.500 0.500 0.500


run i has the most favorable energy; the next structure is 17.7 kJ/mol of atoms above.


Run i
Below is a relaxed structure of LiGa2BTe, with properties calculated at the PBE level.

Values from the calculation:
Volume ... 19.67 Å³ per atom
SG ... No. 123
Magnetization ... 0.00 μB per cell
Fermi-level density of states ... 0.43 states/eV/atom

abc: 4.854 4.854 4.174
angles: 90.00 90.00 90.00
Fractional coordinates of all 5 atoms:
Te: 0.500 0.500 0.500
Li: 0.000 0.000 0.000
B: 0.000 0.000 0.500
Ga: 0.500 0.000 0.000
Ga: 0.000 0.500 0.000


Run ii
Below is a relaxed structure of LiGa2BTe, with properties calculated at the PBE level.

Values from the calculation:
Volume ... 21.83 Å³ per atom
SG ... No. 123
Magnetization ... 0.00 μB per cell
Fermi-level density of states ... 0.44 states/eV/atom

abc: 4.654 5.039 4.654
angles: 90.00 90.00 90.00
Fractional coordinates of all 5 atoms:
Ga: 0.500 0.000 0.000
Ga: 0.000 0.000 0.500
Li: 0.000 0.000 0.000
B: 0.500 0.500 0.500
Te: 0.000 0.500 0.000


run i has the most favorable energy; the next structure is 20.9 kJ/mol of atoms above.


Run i
Below is a relaxed structure of MgGa2B, with properties calculated at the PBE level.

Values from the calculation:
Volume ... 20.77 Å³ per atom
SG ... No. 122
Magnetization ... 0.00 μB per cell
Fermi-level density of states ... 0.55 states/eV/atom

abc: 6.050 6.050 6.238
angles: 60.99 60.99 90.00
Fractional coordinates of all 8 atoms:
Mg: 0.750 0.250 0.500
Mg: 0.000 0.000 0.000
Ga: 0.875 0.750 0.750
Ga: 0.500 0.125 0.250
Ga: 0.375 0.500 0.750
Ga: 0.250 0.625 0.250
B: 0.250 0.750 0.500
B: 0.500 0.500 0.000


Run ii
Below is a relaxed structure of MgGa2B, with properties calculated at the PBE level.

Values from the calculation:
Volume ... 16.14 Å³ per atom
SG ... No. 225
Magnetization ... 0.00 μB per cell
Fermi-level density of states ... 0.73 states/eV/atom

abc: 4.502 4.502 4.502
angles: 60.00 60.00 60.00
Fractional coordinates of all 4 atoms:
Mg: 0.500 0.500 0.500
Ga: 0.750 0.750 0.750
Ga: 0.250 0.250 0.250
B: 0.000 0.000 0.000


run i has the most favorable energy; the next structure is 27.0 kJ/mol of atoms above.


Run i
Below is a relaxed structure of Mg2GaB, with properties calculated at the PBE level.

Values from the calculation:
Volume ... 17.90 Å³ per atom
SG ... No. 122
Magnetization ... 0.00 μB per cell
Fermi-level density of states ... 0.45 states/eV/atom

abc: 4.106 4.106 8.976
angles: 76.78 76.78 90.00
Fractional coordinates of all 8 atoms:
Ga: 0.750 0.250 0.500
Ga: 0.000 0.000 0.000
Mg: 0.600 0.125 0.250
Mg: 0.375 0.400 0.750
Mg: 0.150 0.625 0.250
Mg: 0.875 0.850 0.750
B: 0.250 0.750 0.500
B: 0.500 0.500 0.000


Run ii
Below is a relaxed structure of Mg2GaB, with properties calculated at the PBE level.

Values from the calculation:
Volume ... 15.76 Å³ per atom
SG ... No. 225
Magnetization ... 0.00 μB per cell
Fermi-level density of states ... 0.04 states/eV/atom

abc: 4.468 4.468 4.468
angles: 60.00 60.00 60.00
Fractional coordinates of all 4 atoms:
Ga: 0.500 0.500 0.500
B: 0.000 0.000 0.000
Mg: 0.750 0.750 0.750
Mg: 0.250 0.250 0.250


run ii has the most favorable energy; the next structure is 22.8 kJ/mol of atoms above.


Run i
Below is a relaxed structure of MgGa2B2, with properties calculated at the PBE level.

Values from the calculation:
Volume ... 12.61 Å³ per atom
SG ... No. 139
Magnetization ... 0.00 μB per cell
Fermi-level density of states ... 0.24 states/eV/atom

abc: 3.744 3.744 5.221
angles: 68.99 68.99 90.00
Fractional coordinates of all 5 atoms:
Ga: 0.750 0.250 0.500
Ga: 0.250 0.750 0.500
Mg: 0.000 0.000 0.000
B: 0.596 0.596 0.808
B: 0.404 0.404 0.192


Run ii
Below is a relaxed structure of MgGa2B2, with properties calculated at the PBE level.

Values from the calculation:
Volume ... 14.85 Å³ per atom
SG ... No. 127
Magnetization ... 0.00 μB per cell
Fermi-level density of states ... 0.38 states/eV/atom

abc: 6.227 6.227 3.830
angles: 90.00 90.00 90.00
Fractional coordinates of all 10 atoms:
Ga: 0.314 0.814 0.500
Ga: 0.686 0.186 0.500
Ga: 0.814 0.686 0.500
Ga: 0.186 0.314 0.500
B: 0.907 0.593 0.000
B: 0.093 0.407 0.000
B: 0.407 0.907 0.000
B: 0.593 0.093 0.000
Mg: 0.000 0.000 0.000
Mg: 0.500 0.500 0.000


run i has the most favorable energy; the next structure is 9.3 kJ/mol of atoms above.


Run i
Below is a relaxed structure of Mg6GaBO8, with properties calculated at the PBE level.

Values from the calculation:
Volume ... 9.78 Å³ per atom
SG ... No. 123
Magnetization ... 0.00 μB per cell
Fermi-level density of states ... 0.08 states/eV/atom

abc: 4.257 4.257 8.638
angles: 90.00 90.00 90.00
Fractional coordinates of all 16 atoms:
O: 0.500 0.000 0.000
O: 0.500 0.000 0.500
O: 0.500 0.500 0.750
O: 0.000 0.500 0.000
O: 0.000 0.500 0.500
O: 0.000 0.000 0.271
O: 0.000 0.000 0.729
O: 0.500 0.500 0.250
Mg: 0.500 0.000 0.241
Mg: 0.500 0.500 0.000
Mg: 0.500 0.000 0.759
Mg: 0.000 0.500 0.759
Mg: 0.500 0.500 0.500
Mg: 0.000 0.500 0.241
B: 0.000 0.000 0.000
Ga: 0.000 0.000 0.500


Run ii
Below is a relaxed structure of Mg6GaBO8, with properties calculated at the PBE level.

Values from the calculation:
Volume ... 9.75 Å³ per atom
SG ... No. 123
Magnetization ... 0.00 μB per cell
Fermi-level density of states ... 0.13 states/eV/atom

abc: 4.244 4.244 8.661
angles: 90.00 90.00 90.00
Fractional coordinates of all 16 atoms:
O: 0.500 0.500 0.757
O: 0.000 0.000 0.262
O: 0.000 0.500 0.000
O: 0.500 0.000 0.500
O: 0.500 0.500 0.243
O: 0.500 0.000 0.000
O: 0.000 0.500 0.500
O: 0.000 0.000 0.738
Mg: 0.500 0.500 0.500
Mg: 0.000 0.000 0.500
Mg: 0.000 0.500 0.249
Mg: 0.000 0.500 0.751
Mg: 0.500 0.000 0.751
Mg: 0.500 0.000 0.249
B: 0.000 0.000 0.000
Ga: 0.500 0.500 0.000


run i has the most favorable energy; the next structure is 2.8 kJ/mol of atoms above.


Run i
Below is a relaxed structure of GaB3Mo, with properties calculated at the PBE level.

Values from the calculation:
Volume ... 15.06 Å³ per atom
SG ... No. 221
Magnetization ... 0.00 μB per cell
Fermi-level density of states ... 0.48 states/eV/atom

abc: 4.223 4.223 4.223
angles: 90.00 90.00 90.00
Fractional coordinates of all 5 atoms:
Ga: 0.500 0.500 0.500
B: 0.000 0.000 0.500
B: 0.500 0.000 0.000
B: 0.000 0.500 0.000
Mo: 0.000 0.000 0.000


Run ii
Below is a relaxed structure of GaB3Mo, with properties calculated at the PBE level.

Values from the calculation:
Volume ... 12.17 Å³ per atom
SG ... No. 221
Magnetization ... 0.00 μB per cell
Fermi-level density of states ... 0.94 states/eV/atom

abc: 3.933 3.933 3.933
angles: 90.00 90.00 90.00
Fractional coordinates of all 5 atoms:
B: 0.000 0.500 0.000
B: 0.500 0.000 0.000
B: 0.000 0.000 0.500
Mo: 0.500 0.500 0.500
Ga: 0.000 0.000 0.000


run i has the most favorable energy; the next structure is 75.0 kJ/mol of atoms above.